K2SnC after structural relaxation. Source: Alexandria, functional PBE-GGA. Values from VASP.

Structure (Quantum ESPRESSO input):
```
&SYSTEM
  ibrav = 0, nat = 8, ntyp = 3
/
ATOMIC_SPECIES
K 39.10 K.upf
Sn 118.71 Sn.upf
C 12.01 C.upf
CELL_PARAMETERS angstrom
-6.0858 6.0858 2.1867
6.0858 -6.0858 2.1867
6.0858 6.0858 -2.1867
ATOMIC_POSITIONS crystal
K 0.3750 0.1546 0.2796
K 0.8454 0.1250 0.2204
K 0.8750 0.0954 0.7204
K 0.9046 0.6250 0.7796
Sn 0.2500 0.7500 0.5000
Sn 0.5000 0.5000 0.0000
C 0.0000 0.0000 0.0000
C 0.7500 0.2500 0.5000
```

SG: I-42d (122)
Total moment, μB/f.u.: 0.0
Energy relative to the elements, eV/atom: 0.744